## CeMoN (PBE)

Data for an optimized crystal structure of CeMoN.

Values from the calculation:
The calculation puts the uncorrected formation energy at -175.9 meV/atom. For the calculated volume, the calculation gives 15.7 Å³ per atom. For the electronic total energy, the calculation gives -8.54 eV per atom. As for the total moment: 0.00 μB/f.u.

Unit cell a=11.586 b=3.070 c=5.303 alpha=90.00 beta=90.00 gamma=90.00
Space group Amm2 (No. 38)
Symmetry-distinct sites (fractional):
1 Ce 0.141 0.000 0.000 (multiplicity 4)
2 Mo 0.388 0.000 0.345 (multiplicity 4)
3 N 0.000 0.000 0.333 (multiplicity 2)
4 N 0.500 0.000 0.011 (multiplicity 2)